No. 1
Compound: Mg3NiGe
Source: Alexandria
Functional: PBEsol
Structure: relaxed

a = 4.8880 Å, b = 4.8880 Å, c = 4.8880 Å
α = 90.00°, β = 90.00°, γ = 90.00°
With the nearest neighbours (Å) after each atom.
Space group Pm-3m (No. 221)
Unique sites:
1 Mg 0.0000 0.0000 0.5000 x3  2 Ge 2.44
2 Ni 0.5000 0.5000 0.5000 x1  12 Mg 3.46
3 Ge 0.0000 0.0000 0.0000 x1  6 Mg 2.44

Results
Its magnetic moment is 0.2 μB per formula unit. As for the formation energy from the elements: 0.572 eV/atom.

---

No. 2
Compound: LaCdCu
Source: Alexandria
Functional: PBEsol
Structure: relaxed

a = 4.7055 Å, b = 4.7055 Å, c = 3.5279 Å
α = 90.00°, β = 90.00°, γ = 120.00°
With the nearest neighbours (Å) after each atom.
Space group P-6m2 (No. 187)
Unique sites:
1 La 0.0000 0.0000 0.0000 x1  6 Cd 3.24, 6 Cu 3.24, 2 La 3.53
2 Cd 0.3333 0.6667 0.5000 x1  3 Cu 2.72
3 Cu 0.6667 0.3333 0.5000 x1  3 Cd 2.72

Results
Its magnetic moment is 0.0 μB per formula unit. As for the formation energy from the elements: -0.203 eV/atom.

---

No. 3
Compound: TlSiI2N
Source: Alexandria
Functional: PBEsol
Structure: relaxed

a = 6.0084 Å, b = 6.0084 Å, c = 3.3828 Å
α = 90.00°, β = 90.00°, γ = 90.00°
With the nearest neighbours (Å) after each atom.
Space group P4/mmm (No. 123)
Unique sites:
1 Tl 0.0000 0.0000 0.0000 x1  2 Tl 3.38, 8 I 3.45
2 Si 0.5000 0.5000 0.5000 x1  2 N 1.69
3 I 0.0000 0.5000 0.5000 x2  2 Si 3.00
4 N 0.5000 0.5000 0.0000 x1  2 Si 1.69

Results
Its magnetic moment is 0.0 μB per formula unit. Its uncorrected formation energy is -0.040 eV per atom.

---

No. 4
Compound: TlMoP2
Source: Alexandria
Functional: PBEsol
Structure: relaxed

a = 5.8998 Å, b = 5.8998 Å, c = 11.2777 Å
α = 90.00°, β = 90.00°, γ = 90.00°
With the nearest neighbours (Å) after each atom.
Space group I-42d (No. 122)
Unique sites:
1 Tl 0.0000 0.0000 0.0000 x4  4 P 2.81
2 Mo 0.0000 0.0000 0.5000 x4  4 P 2.28
3 P 0.1737 0.2500 0.6250 x8  2 Mo 2.28

Results
Its magnetic moment is 0.0 μB per formula unit. As for the formation energy from the elements: 0.265 eV/atom.

---

What is the formula in the second record?
LaCdCu

---

Which value of magnetic moment does entry 1 give?
0.2 μB per formula unit